VASP calculation (PBE) on AlSb2Ru after structural relaxation.

Lattice parameters (Å, degrees): 6.162 6.162 11.911 90.00 90.00 90.00
Fractional positions:
Al: 0.000 0.000 0.000
Al: 0.000 0.500 0.250
Al: 0.500 0.000 0.750
Al: 0.500 0.500 0.500
Sb: 0.226 0.250 0.625
Sb: 0.250 0.726 0.875
Sb: 0.250 0.774 0.375
Sb: 0.274 0.250 0.125
Sb: 0.726 0.750 0.125
Sb: 0.750 0.226 0.375
Sb: 0.750 0.274 0.875
Sb: 0.774 0.750 0.625
Ru: 0.000 0.000 0.500
Ru: 0.000 0.500 0.750
Ru: 0.500 0.000 0.250
Ru: 0.500 0.500 0.000

Summary:
E ... -80.61 eV/cell

VASP calculation (PBE) on AlSb2Ru after structural relaxation.

Lattice parameters (Å, degrees): 3.326 4.840 4.887 90.00 90.00 90.00
Fractional positions:
Al: 0.000 0.000 0.000
Sb: 0.500 0.000 0.500
Sb: 0.500 0.500 0.000
Ru: 0.000 0.500 0.500

Summary:
E ... -19.86 eV/cell

VASP calculation (PBE) on AlSbRu after structural relaxation.

Lattice parameters (Å, degrees): 6.136 6.136 6.136 90.00 90.00 90.00
Fractional positions:
Al: 0.000 0.000 0.000
Al: 0.000 0.500 0.500
Al: 0.500 0.000 0.500
Al: 0.500 0.500 0.000
Sb: 0.000 0.000 0.500
Sb: 0.000 0.500 0.000
Sb: 0.500 0.000 0.000
Sb: 0.500 0.500 0.500
Ru: 0.250 0.250 0.250
Ru: 0.250 0.750 0.750
Ru: 0.750 0.250 0.750
Ru: 0.750 0.750 0.250

Summary:
E ... -71.00 eV/cell

VASP calculation (PBE) on AlSb2Ru after structural relaxation.

Lattice parameters (Å, degrees): 3.220 3.220 8.063 90.00 90.00 90.00
Fractional positions:
Al: 0.000 0.000 0.000
Sb: 0.000 0.000 0.367
Sb: 0.500 0.500 0.763
Ru: 0.500 0.500 0.151

Summary:
E ... -21.80 eV/cell